Entry from Alexandria: a geometry-optimized La2TcSe structure (PBE).

Lattice parameters (Å, degrees): 4.8636 3.8262 5.8526 70.92 90.00 90.00
Last column: nearest neighbours and their distance in Å.
Fractional coordinates of all 4 atoms:
La 0.0000 0.9985 0.8773  3 Se 3.02-3.16, 4 Tc 3.09-3.10
La 0.5000 0.2802 0.3175  1 Tc 2.41
Se 0.0000 0.7262 0.4241  7 La 3.02-3.16
Tc 0.5000 0.4951 0.8811  1 La 2.41

## Properties
Its total energy is -26.65 eV per cell. The value obtained for the size of the total moment is 0.0 μB per formula unit. The space-group type is Pm, No. 6. The calculated density comes out at 7.3 g cm⁻³.